# 1
Density functional theory data (PBE) for crystalline Pr2Mg5Cd3 at its relaxed geometry.

Output
E_tot	-43.405	eV per cell
symmetry	No. 72
density	4.74	g cm⁻³
ΔH_f (0 K)	-0.143	eV per atom

```
Pr2Mg5Cd3
1.0
6.3577 0.0000 0.0000
3.1788 9.0032 -0.7842
3.1788 0.6139 9.0164
Cd Pr Mg
6 4 10
Direct
0.7500 0.0000 0.0000 Cd
0.2500 0.0000 0.0000 Cd
0.3728 0.4846 0.7699 Cd
0.6272 0.5154 0.2301 Cd
0.8728 0.7699 0.4846 Cd
0.1272 0.2301 0.5154 Cd
0.1298 0.6146 0.1259 Pr
0.6298 0.1259 0.6146 Pr
0.8702 0.3854 0.8741 Pr
0.3703 0.8741 0.3854 Pr
0.4979 0.7521 0.7521 Mg
0.1142 0.0310 0.7405 Mg
0.0021 0.2479 0.2479 Mg
0.7500 0.5000 0.5000 Mg
0.2500 0.5000 0.5000 Mg
0.8858 0.9690 0.2595 Mg
0.3858 0.2595 0.9690 Mg
0.9979 0.7521 0.7521 Mg
0.6142 0.7405 0.0310 Mg
0.5021 0.2479 0.2479 Mg
```


# 2
Density functional theory data (PBE) for crystalline SrCdSnCl6 at its relaxed geometry.

Output
E_tot	-62.306	eV per cell
symmetry	No. 102
density	3.17	g cm⁻³
formation energy (no corrections)	-13.473	eV/f.u.

```
SrCdSnCl6
1.0
6.5869 0.0000 0.0000
0.0000 6.5869 0.0000
0.0000 0.0000 12.8460
Cl Cd Sr Sn
12 2 2 2
Direct
0.1874 0.8126 0.1764 Cl
0.3078 0.3078 0.9878 Cl
0.8078 0.1922 0.4878 Cl
0.3126 0.3126 0.6764 Cl
0.2913 0.2913 0.3356 Cl
0.8126 0.1874 0.1764 Cl
0.7087 0.7087 0.3356 Cl
0.2087 0.7913 0.8356 Cl
0.6874 0.6874 0.6764 Cl
0.6922 0.6922 0.9878 Cl
0.1922 0.8078 0.4878 Cl
0.7913 0.2087 0.8356 Cl
0.5000 0.5000 0.8340 Cd
0.0000 0.0000 0.3340 Cd
0.0000 0.0000 0.6674 Sr
0.5000 0.5000 0.1674 Sr
0.5000 0.5000 0.4990 Sn
0.0000 0.0000 0.9990 Sn
```


# 3
Density functional theory data (PBE) for crystalline ZrBe3H at its relaxed geometry.

Output
E_tot	-21.925	eV per cell
energy relative to the lowest polymorph listed for this composition	0.0	meV per atom
symmetry	No. 221
density	3.84	g cm⁻³

```
ZrBe3H
1.0
-1.8174 0.1397 -3.2472
2.0960 -2.7931 -1.2932
-2.4841 -2.4589 1.2846
Zr Be H
1 3 1
Direct
0.5000 0.5000 0.5000 Zr
0.0000 0.5000 0.0000 Be
0.5000 0.0000 0.0000 Be
0.0000 0.0000 0.5000 Be
0.0000 0.0000 0.0000 H
```


# 4
Density functional theory data (PBE) for crystalline Dy3ThRh8 at its relaxed geometry.

Output
E_tot	-89.068	eV per cell
symmetry	No. 160
density	11.76	g cm⁻³
ΔH_f (0 K)	-0.753	eV per atom

```
Dy3ThRh8
1.0
5.1338 0.0000 1.5498
2.3330 4.5731 1.5498
-0.0004 -0.0002 9.2794
Dy Rh Th
3 8 1
Direct
0.0025 0.0025 0.9926 Dy
0.3739 0.3739 0.8783 Dy
0.4977 0.4977 0.5069 Dy
0.9370 0.9370 0.6883 Rh
0.4386 0.9364 0.1865 Rh
0.9364 0.4386 0.1865 Rh
0.6876 0.6876 0.9372 Rh
0.9370 0.4377 0.6883 Rh
0.1872 0.1872 0.4385 Rh
0.4386 0.4386 0.1865 Rh
0.4377 0.9370 0.6883 Rh
0.8760 0.8760 0.3720 Th
```


# 5
Density functional theory data (PBE) for crystalline Sm2Ga3Ni5 at its relaxed geometry.

Output
E_tot	-104.255	eV per cell
symmetry	No. 36
density	8.20	g cm⁻³
ΔH_f (0 K)	-0.470	eV per atom

```
Sm2Ga3Ni5
1.0
3.9621 0.0000 -0.6749
0.0000 6.8035 0.0000
0.0176 0.0000 12.0701
Ni Sm Ga
10 4 6
Direct
0.3890 0.5498 0.7781 Ni
0.7117 0.4022 0.4233 Ni
0.9495 0.9382 0.8991 Ni
0.2852 0.5375 0.5704 Ni
0.7148 0.0375 0.4296 Ni
0.8537 0.7426 0.7074 Ni
0.6110 0.0498 0.2219 Ni
0.2883 0.9022 0.5767 Ni
0.1463 0.2426 0.2926 Ni
0.0505 0.4382 0.1009 Ni
0.1603 0.7614 0.3205 Sm
0.5207 0.7428 0.0414 Sm
0.4793 0.2428 0.9586 Sm
0.8397 0.2614 0.6795 Sm
0.0566 0.0552 0.1132 Ga
0.7558 0.7170 0.5117 Ga
0.2442 0.2170 0.4883 Ga
0.9434 0.5552 0.8868 Ga
0.3892 0.9180 0.7783 Ga
0.6108 0.4180 0.2217 Ga
```


# 6
Density functional theory data (PBE) for crystalline Li3USe4 at its relaxed geometry.

Output
E_tot	-80.731	eV per cell
energy relative to the lowest polymorph listed for this composition	18.4	meV per atom
symmetry	No. 59
density	5.51	g cm⁻³
formation energy (no corrections)	-9.398	eV/f.u.

```
Li3USe4
1.0
-4.1329 -3.7941 -0.0463
3.6329 -3.9369 -1.6677
2.1485 -2.4684 10.5071
Li Se U
6 8 2
Direct
0.5640 0.2503 0.2501 Li
0.0640 0.7497 0.2499 Li
0.0640 0.7497 0.7501 Li
0.5640 0.7517 0.0000 Li
0.0640 0.2483 0.5000 Li
0.5640 0.2503 0.7499 Li
0.5646 0.7498 0.7414 Se
0.5646 0.7498 0.2586 Se
0.5648 0.2504 0.0000 Se
0.0648 0.7496 0.5000 Se
0.0646 0.7504 0.0000 Se
0.0646 0.2502 0.2414 Se
0.5646 0.2496 0.5000 Se
0.0646 0.2502 0.7586 Se
0.5648 0.7496 0.5000 U
0.0648 0.2504 0.0000 U
```


# 7
Density functional theory data (PBE) for crystalline TcIrOs2 at its relaxed geometry.

Output
E_tot	-41.688	eV per cell
energy relative to the lowest polymorph listed for this composition	13.1	meV per atom
symmetry	No. 139
density	19.34	g cm⁻³
ΔH_f (0 K)	0.000	eV per atom

```
TcIrOs2
1.0
4.7121 -0.0017 -0.0005
1.5246 4.4586 0.0005
-3.1178 -2.2293 2.7411
Os Ir Tc
2 1 1
Direct
0.0000 0.0000 0.0000 Os
0.5000 0.5000 0.0000 Os
0.2500 0.7500 0.5000 Ir
0.7500 0.2500 0.5000 Tc
```


# 8
Density functional theory data (PBE) for crystalline LaV2BiAu at its relaxed geometry.

Output
E_tot	-22.048	eV per cell
symmetry	No. 123
density	8.27	g cm⁻³
ΔH_f (0 K)	1.655	eV per atom

```
LaV2BiAu
1.0
4.6295 0.0000 0.0000
0.0000 6.0587 0.0000
0.0000 0.0000 4.6295
V Bi Au La
2 1 1 1
Direct
0.5000 0.0000 0.0000 V
0.0000 0.0000 0.5000 V
0.0000 0.5000 0.0000 Bi
0.5000 0.5000 0.5000 Au
0.0000 0.0000 0.0000 La
```